# 1
The following is a DFT calculation (PBE) of a relaxed structure of MgAlGa2Te.

Cell: 4.9496 4.9496 5.3358 Å, 90.00 90.00 90.00°
Last column: nearest neighbours and their distance in Å.
Positions (direct):
Mg1 0.0000 0.0000 0.0000  2 Al 2.67
Al1 0.0000 0.0000 0.5000  4 Ga 2.47, 2 Mg 2.67
Ga1 0.0000 0.5000 0.5000  2 Al 2.47
Ga2 0.5000 0.0000 0.5000  2 Al 2.47
Te1 0.5000 0.5000 0.0000  4 Mg 3.50, 8 Ga 3.64

Properties
ΔE_f (raw) in eV per atom: 0.1481
SG: P4/mmm


# 2
The following is a DFT calculation (PBE) of a relaxed structure of CrHgAs2.

Cell: 3.0001 3.4570 8.1197 Å, 90.00 90.00 90.00°
Last column: nearest neighbours and their distance in Å.
Positions (direct):
Cr1 0.0000 0.0000 0.0000  8 As 2.64
Hg1 0.0000 0.0000 0.5000  2 Hg 3.00
As1 0.5000 0.5000 0.1625  1 As 2.64, 4 Cr 2.64
As2 0.5000 0.5000 0.8375  1 As 2.64, 4 Cr 2.64

Properties
Energy of formation in eV per atom: 0.0686
SG: Pmmm


# 3
The following is a DFT calculation (PBE) of a relaxed structure of SrAg2Ir.

Cell: 9.6351 9.6351 9.6351 Å, 19.04 19.04 19.04°
Last column: nearest neighbours and their distance in Å.
Positions (direct):
Sr1 0.0000 0.0000 0.0000  3 Ir 2.94, 6 Sr 3.19
Ag1 0.2358 0.2358 0.2358  9 Ag 2.88-3.19
Ag2 0.4911 0.4911 0.4911  3 Ir 2.86, 9 Ag 2.88-3.19
Ir1 0.7474 0.7474 0.7474  3 Ag 2.86, 3 Sr 2.94, 6 Ir 3.19

Properties
Energy of formation in eV per atom: 0.4976
SG: R3m


# 4
The following is a DFT calculation (PBE) of a relaxed structure of VCr3Re.

Cell: 4.1470 4.1470 4.1470 Å, 90.00 90.00 90.00°
Last column: nearest neighbours and their distance in Å.
Positions (direct):
V1 0.0000 0.0000 0.0000  6 Cr 2.07
Cr1 0.0000 0.0000 0.5000  2 V 2.07
Cr2 0.0000 0.5000 0.0000  2 V 2.07
Cr3 0.5000 0.0000 0.0000  2 V 2.07
Re1 0.5000 0.5000 0.5000  12 Cr 2.93

Properties
Energy of formation in eV per atom: 1.3758
SG: Pm-3m


# 5
The following is a DFT calculation (PBE) of a relaxed structure of CdSiSN2.

Cell: 3.5202 3.5202 5.9900 Å, 90.00 90.00 90.00°
Last column: nearest neighbours and their distance in Å.
Positions (direct):
Cd1 0.0000 0.0000 0.0000  4 S 2.49
Si1 0.5000 0.5000 0.5000  4 N 1.76
S1 0.5000 0.5000 0.0000  4 Cd 2.49
N1 0.0000 0.5000 0.5000  2 Si 1.76
N2 0.5000 0.0000 0.5000  2 Si 1.76

Properties
ΔE_f (raw) in eV per atom: 0.3663
SG: P4/mmm


# 6
The following is a DFT calculation (PBE) of a relaxed structure of LiCd2Bi2.

Cell: 8.6319 8.6319 3.7941 Å, 90.00 90.00 90.00°
Last column: nearest neighbours and their distance in Å.
Positions (direct):
Li1 0.0000 0.0000 0.0000  4 Bi 3.17
Li2 0.5000 0.5000 0.0000  4 Bi 3.17
Cd1 0.1236 0.3764 0.5000  1 Cd 3.02, 6 Bi 3.07-3.26
Cd2 0.3764 0.8764 0.5000  1 Cd 3.02, 6 Bi 3.07-3.26
Cd3 0.6236 0.1236 0.5000  1 Cd 3.02, 6 Bi 3.07-3.26
Cd4 0.8764 0.6236 0.5000  1 Cd 3.02, 6 Bi 3.07-3.26
Bi1 0.1788 0.6788 0.0000  6 Cd 3.07-3.26, 2 Li 3.17
Bi2 0.3212 0.1788 0.0000  6 Cd 3.07-3.26, 2 Li 3.17
Bi3 0.6788 0.8212 0.0000  6 Cd 3.07-3.26, 2 Li 3.17
Bi4 0.8212 0.3212 0.0000  6 Cd 3.07-3.26, 2 Li 3.17

Properties
Energy of formation in eV per atom: -0.0092
SG: P4/mbm


# 7
The following is a DFT calculation (PBE) of a relaxed structure of KNaTl2Br8.

Cell: 9.8582 9.8582 9.8582 Å, 137.29 137.29 61.99°
Last column: nearest neighbours and their distance in Å.
Positions (direct):
K1 0.0000 0.0000 0.0000  8 Br 3.31-3.59
Na1 0.2500 0.7500 0.5000  8 Br 3.16-3.48
Tl1 0.5000 0.5000 0.0000  4 Br 2.64
Tl2 0.7500 0.2500 0.5000  4 Br 2.65
Br1 0.0076 0.0657 0.4149  1 Tl 2.65
Br2 0.2458 0.6678 0.0876  1 Tl 2.64
Br3 0.3322 0.4198 0.5779  1 Tl 2.64
Br4 0.4073 0.9924 0.0581  1 Tl 2.65
Br5 0.5802 0.1582 0.9124  1 Tl 2.64
Br6 0.6508 0.5927 0.5851  1 Tl 2.65
Br7 0.8418 0.7542 0.4221  1 Tl 2.64
Br8 0.9343 0.3492 0.9419  1 Tl 2.65

Properties
ΔE_f (raw) in eV per atom: -0.8637
SG: I-4


# 8
The following is a DFT calculation (PBE) of a relaxed structure of Li3Ac3In8.

Cell: 9.3208 9.3208 10.6876 Å, 124.87 124.87 30.47°
Last column: nearest neighbours and their distance in Å.
Positions (direct):
Li1 0.0000 0.0000 0.0000  8 In 3.13-3.21
Li2 0.3371 0.3371 0.1906  5 In 2.78-2.93
Li3 0.6629 0.6629 0.8094  5 In 2.78-2.93
Ac1 0.0000 0.0000 0.5000  8 In 3.48-3.68, 4 Li 3.75
Ac2 0.3009 0.3009 0.7998  10 In 3.46-3.77, 5 Li 3.53-3.83
Ac3 0.6991 0.6991 0.2002  10 In 3.46-3.77, 5 Li 3.53-3.83
In1 0.1438 0.1438 0.9169  3 Li 2.81-2.93
In2 0.1449 0.1449 0.3621  5 In 3.05-3.29, 1 Li 3.13
In3 0.3507 0.3507 0.4638  1 Li 2.78, 3 In 3.05
In4 0.4942 0.4942 0.1883  1 Li 2.84, 3 In 3.05-3.18
In5 0.5058 0.5058 0.8117  1 Li 2.84, 3 In 3.05-3.18
In6 0.6493 0.6493 0.5362  1 Li 2.78, 3 In 3.05
In7 0.8551 0.8551 0.6379  5 In 3.05-3.29, 1 Li 3.13
In8 0.8562 0.8562 0.0831  3 Li 2.81-2.93

Properties
Energy of formation in eV per atom: -0.3906
SG: C2/m


Number 1: calculated total energy -2.76 eV/atom, spin magnetization 0.00 μB/f.u.. Number 2: calculated total energy -4.74 eV/atom, spin magnetization 2.64 μB/f.u.. Number 3: calculated total energy -3.56 eV/atom, spin magnetization 0.09 μB/f.u.. Number 4: calculated total energy -8.71 eV/atom, spin magnetization 0.51 μB/f.u.. Number 5: calculated total energy -5.06 eV/atom, spin magnetization 0.00 μB/f.u.. Number 6: calculated total energy -2.31 eV/atom, spin magnetization 0.00 μB/f.u.. Number 7: calculated total energy -2.57 eV/atom, spin magnetization 0.00 μB/f.u.. Number 8: calculated total energy -3.25 eV/atom, spin magnetization 0.00 μB/f.u..